# GGA-PBE Li2Ac3Ag9, relaxed
# **Calculated total energy**: -45.199 eV per formula unit
# **SG**: Immm
# **Size of the total moment**: 0.0000 μB/atom
data_Li2Ac3Ag9
_cell_length_a 8.881
_cell_length_b 8.881
_cell_length_c 8.881
_cell_angle_alpha 148.96
_cell_angle_beta 111.32
_cell_angle_gamma 77.27
_symmetry_space_group_name_H-M 'P 1'
_symmetry_Int_Tables_number 1
loop_
_symmetry_equiv_pos_as_xyz
'x,y,z'
loop_
_atom_site_label
_atom_site_fract_x
_atom_site_fract_y
_atom_site_fract_z
Li1 0.199 0.000 0.199
Li2 0.801 0.000 0.801
Ac1 0.205 0.205 0.000
Ac2 0.500 0.500 0.000
Ac3 0.795 0.795 0.000
Ag1 0.000 0.500 0.500
Ag2 0.090 0.374 0.716
Ag3 0.195 0.838 0.357
Ag4 0.342 0.626 0.716
Ag5 0.481 0.838 0.643
Ag6 0.519 0.162 0.357
Ag7 0.658 0.374 0.284
Ag8 0.805 0.162 0.643
Ag9 0.910 0.626 0.284

***

# GGA-PBE Li2AcAg2, relaxed
# **SG**: P4/mmm
# **Energy above the lowest structure with this stoichiometry**: 3 meV per atom
# **Size of the total moment**: 0.0000 μB/atom
data_Li2AcAg2
_cell_length_a 4.275
_cell_length_b 4.275
_cell_length_c 6.466
_cell_angle_alpha 90.00
_cell_angle_beta 90.00
_cell_angle_gamma 90.00
_symmetry_space_group_name_H-M 'P 1'
_symmetry_Int_Tables_number 1
loop_
_symmetry_equiv_pos_as_xyz
'x,y,z'
loop_
_atom_site_label
_atom_site_fract_x
_atom_site_fract_y
_atom_site_fract_z
Li1 0.000 0.500 0.000
Li2 0.500 0.000 0.000
Ac1 0.000 0.000 0.500
Ag1 0.500 0.500 0.269
Ag2 0.500 0.500 0.731

***

# GGA-PBE Li5Ac2Ag4, relaxed
# **SG**: Fmmm
# **Energy above the lowest structure with this stoichiometry**: 0 meV per atom
# **Size of the total moment**: 0.0000 μB/atom
data_Li5Ac2Ag4
_cell_length_a 10.034
_cell_length_b 9.208
_cell_length_c 5.729
_cell_angle_alpha 80.77
_cell_angle_beta 64.93
_cell_angle_gamma 34.30
_symmetry_space_group_name_H-M 'P 1'
_symmetry_Int_Tables_number 1
loop_
_symmetry_equiv_pos_as_xyz
'x,y,z'
loop_
_atom_site_label
_atom_site_fract_x
_atom_site_fract_y
_atom_site_fract_z
Li1 0.000 0.000 0.000
Li2 0.000 0.000 0.500
Li3 0.250 0.250 0.250
Li4 0.500 0.500 0.000
Li5 0.750 0.750 0.750
Ac1 0.359 0.359 0.641
Ac2 0.641 0.641 0.359
Ag1 0.027 0.712 0.288
Ag2 0.288 0.973 0.027
Ag3 0.712 0.027 0.973
Ag4 0.973 0.288 0.712

***

# GGA-PBE Li2AcAg, relaxed
# **SG**: P4/mmm
# **Energy above the lowest structure with this stoichiometry**: 126 meV per atom
# **Size of the total moment**: 0.0000 μB/atom
data_Li2AcAg
_cell_length_a 3.599
_cell_length_b 3.599
_cell_length_c 7.532
_cell_angle_alpha 90.00
_cell_angle_beta 90.00
_cell_angle_gamma 90.00
_symmetry_space_group_name_H-M 'P 1'
_symmetry_Int_Tables_number 1
loop_
_symmetry_equiv_pos_as_xyz
'x,y,z'
loop_
_atom_site_label
_atom_site_fract_x
_atom_site_fract_y
_atom_site_fract_z
Li1 0.000 0.000 0.173
Li2 0.000 0.000 0.827
Ac1 0.500 0.500 0.500
Ag1 0.500 0.500 0.000